VASP calculation (GGA-PBE) on crystalline MgScCd at its relaxed geometry.

Properties
energy = -3.0015 eV per atom

a b c (Å): 3.275 3.275 7.534
angles (deg): 90.00 90.00 120.00
Positions (direct):
Cd 0.000 0.000 0.000
Mg 0.667 0.333 0.328
Sc 0.333 0.667 0.672

VASP calculation (GGA-PBE) on crystalline Pr5Er12Tm2 at its relaxed geometry.

Properties
polymorph energy (0 for the lowest one) = 0.0 meV/atom

a b c (Å): 12.313 12.313 8.612
angles (deg): 47.41 47.41 44.20
Positions (direct):
Pr 0.294 0.294 0.395
Pr 0.231 0.231 0.108
Pr 0.000 0.000 0.500
Pr 0.769 0.769 0.892
Pr 0.706 0.706 0.605
Er 0.075 0.075 0.728
Er 0.032 0.674 0.055
Er 0.674 0.032 0.055
Er 0.181 0.561 0.588
Er 0.561 0.181 0.588
Er 0.556 0.556 0.223
Er 0.444 0.444 0.777
Er 0.819 0.439 0.412
Er 0.439 0.819 0.412
Er 0.968 0.326 0.945
Er 0.326 0.968 0.945
Er 0.925 0.925 0.272
Tm 0.674 0.326 0.000
Tm 0.326 0.674 0.000

VASP calculation (GGA-PBE) on crystalline Li6CuNi2 at its relaxed geometry.

Properties
polymorph energy (0 for the lowest one) = 13.9 meV/atom

a b c (Å): 4.545 4.757 7.449
angles (deg): 98.93 108.96 61.47
Each line ends with the local moment (μB).
Positions (direct):
Li 0.252 0.327 0.811  0.00
Li 0.579 0.673 0.811  0.00
Li 0.817 0.000 0.622  -0.01
Li 0.421 0.327 0.189  0.00
Li 0.748 0.673 0.189  0.00
Li 0.183 0.000 0.378  -0.01
Cu 0.000 0.000 0.000  0.00
Ni 0.251 0.497 0.500  0.25
Ni 0.749 0.503 0.500  0.25

VASP calculation (GGA-PBE) on crystalline SmDyErHg at its relaxed geometry.

Properties
energy = -3.6070 eV per atom

a b c (Å): 5.425 5.425 5.425
angles (deg): 60.00 60.00 60.00
Positions (direct):
Dy 0.000 0.000 0.000
Hg 0.250 0.250 0.250
Sm 0.500 0.500 0.500
Er 0.750 0.750 0.750

VASP calculation (GGA-PBE) on crystalline Cs4NpF10 at its relaxed geometry.

Properties
formation energy without anion corrections = -2914.2 meV per atom

a b c (Å): 6.751 8.109 8.109
angles (deg): 80.02 65.40 65.40
Each line ends with the local moment (μB).
Positions (direct):
Cs 0.405 0.789 0.402  0.00
Cs 0.806 0.598 0.789  0.00
Cs 0.194 0.402 0.211  0.00
Cs 0.595 0.211 0.598  0.00
Np 0.000 0.000 0.000  1.20
F 0.250 0.500 0.500  0.10
F 0.735 0.228 0.935  -0.02
F 0.037 0.065 0.228  -0.02
F 0.330 0.935 0.772  -0.02
F 0.898 0.772 0.065  -0.02
F 0.265 0.772 0.065  -0.02
F 0.750 0.500 0.500  0.10
F 0.102 0.228 0.935  -0.02
F 0.670 0.065 0.228  -0.02
F 0.963 0.935 0.772  -0.02

VASP calculation (GGA-PBE) on crystalline NaLi2Ca at its relaxed geometry.

Properties
polymorph energy (0 for the lowest one) = 31.4 meV/atom

a b c (Å): 5.548 5.548 5.548
angles (deg): 60.00 60.00 60.00
Positions (direct):
Na 0.000 0.000 0.000
Ca 0.500 0.500 0.500
Li 0.250 0.250 0.250
Li 0.750 0.750 0.750

VASP calculation (GGA-PBE) on crystalline SrHg3Pb2 at its relaxed geometry.

Properties
energy = -1.8295 eV per atom

a b c (Å): 7.364 7.247 7.247
angles (deg): 76.52 90.00 90.00
Positions (direct):
Sr 0.750 0.365 0.635
Sr 0.250 0.635 0.365
Hg 0.750 0.015 0.985
Hg 0.250 0.985 0.015
Hg 0.750 0.582 0.151
Hg 0.250 0.418 0.849
Hg 0.750 0.849 0.418
Hg 0.250 0.151 0.582
Pb 0.000 0.226 0.226
Pb 0.500 0.774 0.774
Pb 0.000 0.774 0.774
Pb 0.500 0.226 0.226

VASP calculation (GGA-PBE) on crystalline Pm3NdDy3 at its relaxed geometry.

Properties
polymorph energy (0 for the lowest one) = 0.0 meV/atom

a b c (Å): 5.793 9.677 9.677
angles (deg): 120.00 90.00 90.00
Positions (direct):
Pm 0.750 0.621 0.525
Pm 0.750 0.475 0.096
Pm 0.750 0.904 0.379
Pm 0.250 0.379 0.475
Pm 0.250 0.525 0.904
Pm 0.250 0.096 0.621
Nd 0.250 0.667 0.333
Nd 0.750 0.333 0.667
Dy 0.250 0.813 0.766
Dy 0.250 0.234 0.047
Dy 0.250 0.953 0.187
Dy 0.750 0.187 0.234
Dy 0.750 0.766 0.953
Dy 0.750 0.047 0.813

VASP calculation (GGA-PBE) on crystalline ZnSiCl2 at its relaxed geometry.

Properties
polymorph energy (0 for the lowest one) = 519.3 meV/atom
formation energy without anion corrections = 199.2 meV per atom

a b c (Å): 5.064 5.064 5.064
angles (deg): 126.59 126.59 78.92
Positions (direct):
Cl 0.000 0.000 0.000
Cl 0.500 0.500 0.000
Si 0.250 0.750 0.500
Zn 0.750 0.250 0.500

VASP calculation (GGA-PBE) on crystalline SrHfP2Rh at its relaxed geometry.

Properties
energy = -3.8843 eV per atom

a b c (Å): 5.090 5.380 5.090
angles (deg): 90.00 90.00 90.00
Each line ends with the local moment (μB).
Positions (direct):
Rh 0.500 0.500 0.500  0.70
Hf 0.000 0.500 0.000  0.06
P 0.000 0.000 0.500  0.00
P 0.500 0.000 0.000  0.00
Sr 0.000 0.000 0.000  0.03

VASP calculation (GGA-PBE) on crystalline Na2PbBr5 at its relaxed geometry.

Properties
formation energy without anion corrections = -1051.5 meV per atom

a b c (Å): 5.897 7.912 13.906
angles (deg): 90.00 90.00 111.88
Positions (direct):
Na 0.834 0.669 0.431
Na 0.834 0.669 0.069
Na 0.166 0.331 0.569
Na 0.166 0.331 0.931
Pb 0.822 0.643 0.750
Pb 0.178 0.357 0.250
Br 0.955 0.909 0.898
Br 0.955 0.909 0.602
Br 0.312 0.625 0.408
Br 0.312 0.625 0.092
Br 0.717 0.434 0.250
Br 0.283 0.566 0.750
Br 0.688 0.375 0.592
Br 0.688 0.375 0.908
Br 0.045 0.091 0.102
Br 0.045 0.091 0.398

VASP calculation (GGA-PBE) on crystalline MgTcRhO6 at its relaxed geometry.

Properties
formation energy without anion corrections = -1362.5 meV per atom

a b c (Å): 4.992 4.992 9.358
angles (deg): 90.00 90.00 120.00
Positions (direct):
Mg 0.000 0.000 0.000
Mg 0.000 0.000 0.500
Tc 0.333 0.667 0.250
Tc 0.667 0.333 0.750
Rh 0.667 0.333 0.250
Rh 0.333 0.667 0.750
O 0.649 0.665 0.132
O 0.016 0.351 0.132
O 0.351 0.016 0.632
O 0.984 0.649 0.868
O 0.335 0.351 0.368
O 0.016 0.665 0.368
O 0.665 0.016 0.868
O 0.649 0.984 0.368
O 0.984 0.335 0.632
O 0.335 0.984 0.132
O 0.665 0.649 0.632
O 0.351 0.335 0.868

VASP calculation (GGA-PBE) on crystalline BaPdSe3 at its relaxed geometry.

Properties
polymorph energy (0 for the lowest one) = 1509.9 meV/atom
formation energy without anion corrections = 727.3 meV per atom

a b c (Å): 6.075 6.075 6.075
angles (deg): 90.00 90.00 90.00
Positions (direct):
Se 0.000 0.500 0.000
Se 0.000 0.000 0.500
Se 0.500 0.000 0.000
Ba 0.000 0.000 0.000
Pd 0.500 0.500 0.500

VASP calculation (GGA-PBE) on crystalline SbMo2Ir at its relaxed geometry.

Properties
formation energy without anion corrections = 185.2 meV per atom

a b c (Å): 5.141 5.141 5.141
angles (deg): 139.91 129.53 66.33
Positions (direct):
Ir 0.260 0.760 0.500
Mo 0.997 0.997 0.000
Mo 0.748 0.248 0.500
Sb 0.494 0.494 0.000

VASP calculation (GGA-PBE) on crystalline La2CoIr2 at its relaxed geometry.

Properties
energy = -7.1984 eV per atom

a b c (Å): 6.884 6.884 4.477
angles (deg): 90.00 90.00 90.00
Positions (direct):
Ir 0.364 0.864 0.000
Ir 0.864 0.636 0.000
Ir 0.636 0.136 0.000
Ir 0.136 0.364 0.000
Co 0.000 0.000 0.000
Co 0.500 0.500 0.000
La 0.181 0.681 0.500
La 0.681 0.819 0.500
La 0.819 0.319 0.500
La 0.319 0.181 0.500

VASP calculation (GGA-PBE) on crystalline ZnAg2Sb at its relaxed geometry.

Properties
polymorph energy (0 for the lowest one) = 18.1 meV/atom
formation energy without anion corrections = 89.1 meV per atom

a b c (Å): 3.701 3.701 5.742
angles (deg): 90.00 90.00 90.00
Positions (direct):
Ag 0.000 0.000 0.993
Ag 0.500 0.500 0.239
Sb 0.000 0.000 0.499
Zn 0.500 0.500 0.769

VASP calculation (GGA-PBE) on crystalline Tb6Y8Tm at its relaxed geometry.

Properties
polymorph energy (0 for the lowest one) = 0.0 meV/atom

a b c (Å): 9.731 9.731 8.151
angles (deg): 53.35 53.35 60.00
Positions (direct):
Tb 0.387 0.931 0.967
Tb 0.069 0.285 0.033
Tb 0.285 0.613 0.033
Tb 0.715 0.387 0.967
Tb 0.931 0.715 0.967
Tb 0.613 0.069 0.033
Y 0.354 0.230 0.487
Y 0.770 0.072 0.513
Y 0.072 0.646 0.513
Y 0.588 0.588 0.237
Y 0.412 0.412 0.763
Y 0.928 0.354 0.487
Y 0.230 0.928 0.487
Y 0.646 0.770 0.513
Tm 0.000 0.000 0.000

VASP calculation (GGA-PBE) on crystalline AcLa5Mg4 at its relaxed geometry.

Properties
energy = -3.6014 eV per atom

a b c (Å): 3.943 3.943 21.290
angles (deg): 90.00 90.00 90.00
Positions (direct):
Ac 0.000 0.000 0.000
La 0.500 0.500 0.125
La 0.500 0.500 0.314
La 0.500 0.500 0.500
La 0.500 0.500 0.686
La 0.500 0.500 0.875
Mg 0.000 0.000 0.219
Mg 0.000 0.000 0.406
Mg 0.000 0.000 0.594
Mg 0.000 0.000 0.781

VASP calculation (GGA-PBE) on crystalline Li2HfTlPb at its relaxed geometry.

Properties
energy = -3.0600 eV per atom

a b c (Å): 5.354 5.519 5.354
angles (deg): 90.00 90.00 90.00
Each line ends with the local moment (μB).
Positions (direct):
Pb 0.500 0.500 0.500  -0.04
Tl 0.000 0.500 0.000  0.05
Hf 0.000 0.000 0.000  1.01
Li 0.000 0.000 0.500  0.07
Li 0.500 0.000 0.000  0.10

VASP calculation (GGA-PBE) on crystalline KPrMnSe3 at its relaxed geometry.

Properties
formation energy without anion corrections = -1281.0 meV per atom

a b c (Å): 4.335 9.242 9.931
angles (deg): 105.05 90.00 90.00
Each line ends with the local moment (μB).
Positions (direct):
K 0.750 0.804 0.775  0.00
K 0.250 0.196 0.225  0.00
Pr 0.250 0.667 0.146  0.03
Pr 0.750 0.333 0.854  0.03
Mn 0.250 0.086 0.605  4.20
Mn 0.750 0.914 0.395  4.20
Se 0.250 0.803 0.472  0.10
Se 0.750 0.893 0.142  0.06
Se 0.750 0.451 0.160  0.02
Se 0.750 0.197 0.528  0.10
Se 0.250 0.549 0.840  0.02
Se 0.250 0.107 0.858  0.06